[1]
Density functional theory data (meta-GGA SCAN) for Bi14MoO24 at its PBEsol-relaxed geometry.

```
39
Lattice="-1.0566 -6.4103 -5.7410 8.6211 -0.7807 -0.8285 -3.6527 -2.1346 9.6103" Properties=species:S:1:pos:R:3 pbc="T T T"
O 5.1507 -3.3818 -1.3477
O -0.7933 -4.3504 1.8721
O 2.5700 -5.5406 -3.1656
O 2.9561 -7.8975 -1.4926
O 4.8420 -4.8241 1.1639
O 1.8895 -5.6586 0.4411
O 0.1739 -1.4082 -0.8896
O 2.1413 -3.5550 2.5559
O 2.4525 -3.5264 -1.3949
O 1.5911 -5.7571 4.4320
O -1.8992 -2.1895 3.8598
O 5.9496 -7.0870 -0.8578
O 5.7785 -6.9255 -6.1620
O 5.3097 -5.4296 -3.1804
O -0.4474 -4.5321 -1.3830
O 4.4110 -1.6968 1.1159
O -1.1539 -5.8388 4.3814
O -1.2576 -3.8405 6.2026
O -0.0329 -5.8470 -4.6396
O 4.4455 -4.7341 4.4201
O -0.4117 -7.5198 1.9306
O 3.9812 -7.9605 1.5364
O 1.4696 -3.7172 6.2643
O 1.0672 -1.3251 4.5014
Bi 3.2589 -5.3449 2.6790
Bi 1.2705 -3.7104 -3.3401
Bi -1.6180 -6.3138 -1.8664
Bi 2.7503 -1.3832 2.5379
Bi 0.0629 -3.8032 8.0090
Bi 5.6406 -2.9407 4.8683
Bi 2.7487 -5.5820 6.3768
Bi 1.2355 -7.8085 0.4989
Bi -2.0352 -6.0570 2.1166
Bi 3.8628 -5.4129 -1.2276
Bi 0.7635 -3.8365 0.3099
Bi 6.0565 -3.1020 0.8900
Bi 0.1120 -3.8808 4.2722
Bi 0.3183 -7.6220 4.6117
Mo 3.7909 -9.1389 2.8488
```

**Total DFT energy (no corrections)**: -34.194 eV per atom
**Raw formation energy**: -1.256 eV per atom

[2]
Density functional theory data (meta-GGA SCAN) for AlZnCl2 at its PBEsol-relaxed geometry.

```
4
Lattice="3.3699 0.0000 0.0000 0.0000 4.0690 0.0000 0.0000 0.0000 5.7204" Properties=species:S:1:pos:R:3 pbc="T T T"
Zn 1.6849 2.0345 0.0000
Al 0.0000 2.0345 2.8602
Cl 0.0000 0.0000 0.0000
Cl 1.6849 0.0000 2.8602
```

**Energy relative to the lowest polymorph listed for this composition**: 0.479 eV per atom
**Total DFT energy (no corrections)**: -9.494 eV per atom
**Raw formation energy**: -0.189 eV per atom

[3]
Density functional theory data (meta-GGA SCAN) for MnAl2Sb at its PBEsol-relaxed geometry.

```
4
Lattice="-0.6552 1.1563 -2.7561 -2.1074 -3.0048 -0.7596 -4.7632 2.7204 2.4534" Properties=species:S:1:pos:R:3 pbc="T T T"
Sb -4.8805 1.0708 0.0578
Al -0.8203 1.2500 -2.6688
Al -2.6657 -0.1904 -1.0975
Mn -2.1961 1.2579 1.1168
```

**Total DFT energy (no corrections)**: -17.714 eV per atom
**Raw formation energy**: 0.041 eV per atom

Q: Look up the total DFT energy (no corrections) of the third one.
A: -17.714 eV per atom

Q: What is the formula in the third record?
A: MnAl2Sb

Q: Which value of raw formation energy does entry 3 give?
A: 0.041 eV per atom

Q: raw formation energy of number 3 (MnAl2Sb)?
A: 0.041 eV per atom